No. 1
Here is an optimized crystal structure of TbAl3Fe3 from the Alexandria database. Energies are from PBE.

Output
raw total energy = -5.3686 eV per atom
calculated formation energy = 0.524 eV per atom
space group = Pm-3n, No. 223
density = 5.0 g cm⁻³

```
14
Lattice="-2.693 -0.622 5.839 5.499 -2.522 2.267 2.061 5.915 1.581" Properties=species:S:1:pos:R:3 pbc="T T T"
Al 2.405 2.327 1.357
Al 0.199 4.125 4.105
Al -0.831 1.168 3.315
Al 2.076 -1.416 2.593
Al 5.155 1.066 2.491
Al 0.730 -1.728 5.513
Fe 4.295 3.175 2.319
Fe -0.989 2.491 5.170
Fe 2.778 -2.202 4.620
Fe 0.028 -0.942 3.486
Fe 3.265 0.218 1.529
Fe 0.357 2.802 2.250
Tb 0.000 0.000 0.000
Tb 2.433 1.385 4.844
```


No. 2
Here is an optimized crystal structure of Tb4Al12Fe from the Alexandria database. Energies are from PBE.

Output
raw total energy = -4.6741 eV per atom
calculated formation energy = -0.445 eV per atom
space group = Im-3m, No. 229
density = 5.3 g cm⁻³

```
17
Lattice="-1.617 -6.591 3.113 4.873 -1.005 -5.567 2.991 4.513 5.141" Properties=species:S:1:pos:R:3 pbc="T T T"
Al 0.384 -0.581 2.308
Al 2.345 -5.472 -1.768
Al 0.989 -1.497 5.945
Al 2.199 0.981 -0.119
Al 0.911 -2.125 -0.686
Al 3.594 -2.921 -1.333
Al 1.501 -2.938 3.513
Al 4.746 -0.145 -0.826
Al 4.275 1.235 1.851
Al 5.665 2.527 -0.307
Al 1.971 -4.318 0.836
Al 2.653 -0.162 4.021
Tb 1.495 2.257 2.571
Tb -0.809 -3.296 1.556
Tb 3.123 -1.542 1.344
Tb 2.437 -0.503 -2.783
Fe 0.000 0.000 0.000
```


No. 3
Here is an optimized crystal structure of TbAlFe5 from the Alexandria database. Energies are from PBE.

Output
raw total energy = -7.3692 eV per atom
calculated formation energy = -0.128 eV per atom
space group = Pnma, No. 62
density = 7.8 g cm⁻³

```
28
Lattice="4.881 0.000 0.000 0.000 7.993 0.000 0.000 0.000 10.182" Properties=species:S:1:pos:R:3 pbc="T T T"
Al 1.220 2.850 6.527
Al 3.661 1.146 1.436
Al 1.220 6.847 8.746
Al 3.661 5.143 3.655
Fe 3.661 3.298 9.998
Fe 0.025 0.503 7.011
Fe 2.415 4.499 8.262
Fe 1.220 4.695 0.184
Fe 3.661 6.450 7.657
Fe 1.220 1.543 2.525
Fe 3.661 4.412 6.191
Fe 1.220 0.699 4.907
Fe 2.466 3.494 1.920
Fe 2.415 0.503 7.011
Fe 3.661 0.416 9.082
Fe 3.661 2.453 7.616
Fe 1.220 7.577 1.100
Fe 0.025 4.499 8.262
Fe 4.856 3.494 1.920
Fe 1.220 5.540 2.566
Fe 3.661 7.294 5.275
Fe 1.220 3.580 3.991
Fe 2.466 7.490 3.171
Fe 4.856 7.490 3.171
Tb 1.220 1.911 9.564
Tb 3.661 2.086 4.473
Tb 3.661 6.082 0.618
Tb 1.220 5.907 5.709
```


No. 4
Here is an optimized crystal structure of TbAlFe from the Alexandria database. Energies are from PBE.

Output
raw total energy = -5.8937 eV per atom
calculated formation energy = -0.282 eV per atom
space group = Imma, No. 74
density = 7.4 g cm⁻³

```
6
Lattice="1.072 4.685 -2.289 -0.573 -4.236 -3.172 -4.745 -0.812 2.272" Properties=species:S:1:pos:R:3 pbc="T T T"
Al -2.659 -2.524 -0.450
Al -1.836 1.937 -0.009
Fe -2.123 -0.181 -1.595
Fe -0.287 -2.118 -1.586
Tb -4.014 -0.124 1.009
Tb -0.232 -0.239 -4.199
```


No. 5
Here is an optimized crystal structure of TbAlFe from the Alexandria database. Energies are from PBE.

Output
raw total energy = -5.5849 eV per atom
calculated formation energy = 0.027 eV per atom
space group = Immm, No. 71
density = 6.8 g cm⁻³

```
6
Lattice="3.174 0.000 0.000 0.000 5.056 -0.013 -1.587 -2.509 7.316" Properties=species:S:1:pos:R:3 pbc="T T T"
Al 0.000 2.542 5.883
Al 1.587 0.004 1.420
Fe 1.587 -1.103 7.312
Fe 0.000 3.650 -0.009
Tb 1.587 0.011 4.765
Tb 0.000 2.535 2.538
```


No. 6
Here is an optimized crystal structure of TbAlFe from the Alexandria database. Energies are from PBE.

Output
raw total energy = -5.8900 eV per atom
calculated formation energy = -0.278 eV per atom
space group = Amm2, No. 38
density = 7.4 g cm⁻³

```
12
Lattice="2.704 -4.692 0.000 2.704 4.692 0.000 0.000 0.000 8.598" Properties=species:S:1:pos:R:3 pbc="T T T"
Fe 4.080 -0.737 0.000
Fe 2.704 4.618 6.549
Fe 1.328 -0.737 0.000
Fe 2.704 4.618 2.049
Tb 2.704 1.572 1.588
Tb 2.704 -1.524 2.582
Tb 2.704 -1.524 6.016
Tb 2.704 1.572 7.010
Al 2.704 3.155 4.299
Al 2.704 -3.171 0.000
Al 4.090 0.770 4.299
Al 1.317 0.770 4.299
```


No. 7
Here is an optimized crystal structure of TbAlFe from the Alexandria database. Energies are from PBE.

Output
raw total energy = -5.8943 eV per atom
calculated formation energy = -0.282 eV per atom
space group = Amm2, No. 38
density = 7.4 g cm⁻³

```
12
Lattice="-4.902 1.715 1.274 0.996 -5.253 -0.058 2.307 0.344 8.410" Properties=species:S:1:pos:R:3 pbc="T T T"
Fe 0.633 -1.399 4.412
Fe -1.178 -3.040 4.976
Fe -3.924 0.561 1.054
Fe 1.131 -3.876 4.377
Al -3.434 -2.038 1.026
Al -3.183 1.937 7.438
Al -4.261 1.776 3.509
Al -1.499 -0.285 0.423
Tb -0.521 -2.859 2.034
Tb 0.882 -2.649 7.149
Tb -1.388 -0.360 6.517
Tb -2.200 -0.482 3.559
```


No. 8
Here is an optimized crystal structure of Tb2AlFe from the Alexandria database. Energies are from PBE.

Output
raw total energy = -4.8913 eV per atom
calculated formation energy = 0.475 eV per atom
space group = R-3m, No. 166
density = 7.0 g cm⁻³

```
4
Lattice="-2.312 -2.302 0.244 -1.048 -1.556 -2.680 6.124 -8.422 0.499" Properties=species:S:1:pos:R:3 pbc="T T T"
Tb 4.224 -6.550 0.155
Tb -1.459 -5.730 -2.092
Al 1.382 -6.140 -0.968
Fe 0.000 0.000 0.000
```


No. 9
Here is an optimized crystal structure of TbAlFe2 from the Alexandria database. Energies are from PBE.

Output
raw total energy = -6.4812 eV per atom
calculated formation energy = -0.157 eV per atom
space group = P-3m1, No. 164
density = 7.6 g cm⁻³

```
24
Lattice="5.208 0.000 0.000 2.604 4.511 0.000 -0.001 0.000 16.694" Properties=species:S:1:pos:R:3 pbc="T T T"
Al 3.892 3.767 2.273
Al 6.523 3.767 2.273
Al 1.288 0.744 14.422
Al 3.919 0.744 14.422
Al 2.603 3.023 14.422
Al 5.208 1.488 2.273
Fe 2.603 1.504 12.338
Fe 0.000 0.000 8.347
Fe 2.603 3.009 10.415
Fe 1.300 0.751 10.415
Fe 0.000 0.000 0.000
Fe 3.907 0.751 10.415
Fe 5.208 1.502 6.280
Fe 3.904 3.760 6.280
Fe 6.511 3.760 6.280
Fe 5.208 0.001 4.353
Fe 5.208 3.007 4.357
Fe 2.603 4.511 12.341
Tb 5.207 3.008 12.413
Tb 2.604 1.504 0.526
Tb 2.604 1.504 4.282
Tb 2.604 1.504 7.731
Tb 5.208 3.008 8.963
Tb 5.207 3.008 16.168
```


No. 10
Here is an optimized crystal structure of TbAl2Fe6 from the Alexandria database. Energies are from PBE.

Output
raw total energy = -6.8788 eV per atom
calculated formation energy = 0.109 eV per atom
space group = Immm, No. 71
density = 7.0 g cm⁻³

```
9
Lattice="4.064 0.000 0.000 0.000 5.570 0.000 -2.032 -2.785 5.781" Properties=species:S:1:pos:R:3 pbc="T T T"
Fe 2.032 4.048 2.268
Fe 0.000 -1.264 3.513
Fe 0.000 1.264 3.513
Fe 2.032 1.031 0.000
Fe 2.032 4.539 0.000
Fe 2.032 1.521 2.268
Al 0.000 0.000 1.345
Al 2.032 2.785 4.437
Tb 0.000 2.785 0.000
```


No. 11
Here is an optimized crystal structure of TbAlFe from the Alexandria database. Energies are from PBE.

Output
raw total energy = -5.7063 eV per atom
calculated formation energy = -0.095 eV per atom
space group = P-6m2, No. 187
density = 6.7 g cm⁻³

```
3
Lattice="3.708 0.000 0.000 0.000 4.318 0.000 0.000 -2.159 3.739" Properties=species:S:1:pos:R:3 pbc="T T T"
Al 0.618 2.159 1.246
Fe 0.618 0.000 0.000
Tb 2.472 0.000 2.493
```


No. 12
Here is an optimized crystal structure of TbAl3Fe from the Alexandria database. Energies are from PBE.

Output
raw total energy = -4.8062 eV per atom
calculated formation energy = 0.058 eV per atom
space group = Cmcm, No. 63
energy above the most stable polymorph in this dataset = 377 meV per atom
density = 5.0 g cm⁻³

```
10
Lattice="4.964 0.000 0.000 0.000 6.593 0.093 0.000 -2.902 5.921" Properties=species:S:1:pos:R:3 pbc="T T T"
Al 1.241 3.410 0.619
Al 3.723 -0.992 3.321
Al 3.723 0.281 5.395
Al 1.241 4.683 2.692
Al 2.482 0.000 0.000
Al 0.000 0.000 0.000
Tb 1.241 0.985 3.535
Tb 3.723 2.706 2.478
Fe 1.241 -1.190 4.870
Fe 3.723 4.881 1.143
```


No. 13
Here is an optimized crystal structure of Tb2Al3Fe from the Alexandria database. Energies are from PBE.

Output
raw total energy = -5.2226 eV per atom
calculated formation energy = -0.397 eV per atom
space group = R-3m, No. 166
density = 6.5 g cm⁻³

```
6
Lattice="-4.562 2.889 0.382 -2.530 0.203 4.781 0.113 4.642 2.782" Properties=species:S:1:pos:R:3 pbc="T T T"
Al -2.281 1.444 0.191
Al 0.057 2.321 1.391
Al -1.265 0.101 2.390
Tb -4.369 4.842 4.974
Tb -2.610 2.892 2.971
Fe 0.000 0.000 0.000
```


No. 14
Here is an optimized crystal structure of Tb2AlFe3 from the Alexandria database. Energies are from PBE.

Output
raw total energy = -6.5540 eV per atom
calculated formation energy = -0.155 eV per atom
space group = R-3m, No. 166
density = 8.5 g cm⁻³

```
6
Lattice="5.223 0.015 0.010 2.600 4.529 0.010 2.600 1.510 4.270" Properties=species:S:1:pos:R:3 pbc="T T T"
Al 0.000 0.000 0.000
Tb 6.482 3.765 2.668
Tb 3.941 2.289 1.622
Fe 1.300 0.755 2.135
Fe 1.300 2.265 0.005
Fe 2.611 0.007 0.005
```


No. 15
Here is an optimized crystal structure of Tb6AlFe2 from the Alexandria database. Energies are from PBE.

Output
raw total energy = -5.4954 eV per atom
calculated formation energy = -0.112 eV per atom
space group = Immm, No. 71
density = 8.0 g cm⁻³

```
18
Lattice="-7.801 -2.158 2.178 0.688 1.063 -8.286 5.379 -6.069 2.118" Properties=species:S:1:pos:R:3 pbc="T T T"
Al 0.000 0.000 0.000
Al 3.033 -2.503 -3.084
Tb -5.539 -2.322 -3.563
Tb -5.902 -1.603 -0.134
Tb -2.629 -4.305 -3.461
Tb 0.747 -5.313 -3.052
Tb 2.060 -3.763 -6.044
Tb 0.894 -2.860 -0.529
Tb 4.167 -5.561 -3.856
Tb -1.529 -5.272 -0.249
Tb -2.481 -1.851 -0.937
Tb 3.805 -4.842 -0.427
Tb -0.206 -1.893 -3.741
Tb -3.795 -3.402 2.054
Fe -2.899 -1.090 -3.722
Fe -0.930 -3.159 1.650
Fe 1.165 -6.075 -0.268
Fe -1.492 -5.068 2.646
```


No. 16
Here is an optimized crystal structure of TbAl10Fe2 from the Alexandria database. Energies are from PBE.

Output
raw total energy = -4.8979 eV per atom
calculated formation energy = -0.361 eV per atom
space group = Cmcm, No. 63
density = 4.4 g cm⁻³

```
26
Lattice="-6.283 -1.111 2.214 1.594 -6.438 -1.273 3.109 -0.887 8.378" Properties=species:S:1:pos:R:3 pbc="T T T"
Al -3.780 -2.314 5.036
Al -2.068 -6.276 4.916
Al -0.372 -3.953 8.870
Al 0.489 -2.159 4.403
Al -1.525 -6.448 2.290
Al -1.066 -1.716 0.214
Al -1.620 -3.597 5.509
Al -1.876 -2.169 2.873
Al -3.623 -5.833 0.727
Al 0.040 -4.839 3.810
Al -1.207 -4.483 0.449
Al 3.151 -6.394 6.845
Al -4.731 -2.042 2.474
Al -3.292 -4.448 3.157
Al 1.713 -3.988 6.161
Al -0.054 -1.988 7.029
Al 2.200 -6.122 4.283
Al 0.594 -3.035 1.864
Al -2.174 -5.401 7.454
Al 0.297 -6.267 6.446
Fe 2.352 -3.663 3.552
Fe -3.141 -0.555 1.107
Fe -1.587 -0.999 5.296
Fe 0.797 -3.219 -0.637
Tb 1.383 -5.992 1.258
Tb -2.963 -2.444 8.060
```


No. 17
Here is an optimized crystal structure of Tb12AlFe6 from the Alexandria database. Energies are from PBE.

Output
raw total energy = -5.8372 eV per atom
calculated formation energy = -0.043 eV per atom
space group = Im-3, No. 204
density = 8.2 g cm⁻³

```
19
Lattice="7.928 0.000 -2.803 -3.964 6.866 -2.803 0.000 0.000 8.409" Properties=species:S:1:pos:R:3 pbc="T T T"
Fe 5.511 2.679 0.615
Fe 0.435 6.112 -0.615
Fe 1.112 3.433 4.990
Fe -1.547 4.187 2.187
Fe 3.529 0.754 3.418
Fe 2.852 3.433 -2.187
Tb -1.250 4.827 5.028
Tb 0.841 5.534 2.225
Tb 3.123 1.331 0.577
Tb 3.556 3.496 3.380
Tb 6.343 1.331 2.854
Tb 0.408 3.370 -0.577
Tb 1.946 0.707 5.657
Tb 2.018 6.158 -2.854
Tb -2.379 5.534 -0.051
Tb 5.213 2.039 -2.225
Tb 0.360 2.039 2.752
Tb 3.604 4.827 0.051
Al 0.000 0.000 0.000
```


No. 18
Here is an optimized crystal structure of TbAl8Fe4 from the Alexandria database. Energies are from PBE.

Output
raw total energy = -5.6905 eV per atom
calculated formation energy = -0.427 eV per atom
space group = I4/mmm, No. 139
density = 5.2 g cm⁻³

```
13
Lattice="-1.793 6.378 0.543 -1.102 -5.557 3.478 6.465 0.712 1.373" Properties=species:S:1:pos:R:3 pbc="T T T"
Al 3.537 -3.195 3.199
Al 1.591 2.415 0.652
Al 1.827 -1.650 1.652
Al 3.832 2.194 2.311
Al -0.261 -0.661 3.083
Al 3.985 -0.445 2.960
Al -0.414 1.979 2.434
Al 3.081 4.676 1.263
Fe 1.785 0.767 2.697
Fe 3.233 0.356 0.686
Fe -0.551 -2.779 1.739
Fe -0.896 3.189 0.271
Tb 0.000 0.000 0.000
```


No. 19
Here is an optimized crystal structure of Tb3Al4Fe2 from the Alexandria database. Energies are from PBE.

Output
raw total energy = -5.4455 eV per atom
calculated formation energy = -0.358 eV per atom
space group = P-1, No. 2
density = 6.8 g cm⁻³

```
18
Lattice="5.377 0.005 0.036 -2.620 4.712 -0.020 0.274 0.004 13.425" Properties=species:S:1:pos:R:3 pbc="T T T"
Al -1.276 2.356 1.668
Al 0.169 1.603 6.123
Al 2.924 1.496 12.973
Al 1.552 3.946 6.134
Al 0.175 3.226 3.824
Al 2.930 3.119 10.674
Al 0.171 0.003 8.391
Al 1.547 0.776 10.663
Fe 2.723 0.003 1.696
Fe -1.140 3.948 6.130
Fe 4.238 0.774 10.667
Fe 1.413 2.359 1.686
Tb 0.209 3.146 8.965
Tb 2.658 4.679 0.082
Tb 2.890 1.576 7.832
Tb 0.280 3.140 12.343
Tb 0.167 0.038 3.290
Tb 2.819 1.582 4.454
```


No. 20
Here is an optimized crystal structure of TbAlFe from the Alexandria database. Energies are from PBE.

Output
raw total energy = -5.6505 eV per atom
calculated formation energy = -0.039 eV per atom
space group = Fmmm, No. 69
density = 7.3 g cm⁻³

```
6
Lattice="5.123 0.131 0.000 -2.339 4.560 0.000 -1.392 -2.345 4.643" Properties=species:S:1:pos:R:3 pbc="T T T"
Tb 0.055 3.139 0.000
Tb 2.729 1.552 0.000
Al 1.392 2.345 2.969
Al 0.000 0.000 1.675
Fe -1.169 2.280 2.322
Fe 2.562 0.065 2.322
```